1.
! La3Pr2Sm | the Alexandria database | PBE | relaxed; values from VASP
&SYSTEM
  ibrav = 0, nat = 12, ntyp = 3
/
ATOMIC_SPECIES
La 138.91 La.upf
Sm 150.36 Sm.upf
Pr 140.91 Pr.upf
CELL_PARAMETERS angstrom
6.805 0.282 1.113
-1.814 8.966 1.454
-0.394 -0.282 6.884
ATOMIC_POSITIONS crystal
La 0.827 0.998 0.341
Sm 0.918 0.250 0.918
Pr 0.370 0.124 0.119
La 0.413 0.750 0.413
La 0.173 0.002 0.659
La 0.341 0.502 0.827
Pr 0.881 0.624 0.630
La 0.587 0.250 0.587
Pr 0.630 0.876 0.881
Sm 0.082 0.750 0.082
Pr 0.119 0.376 0.370
La 0.659 0.498 0.173
! DFT formation energy ... 47.5 meV/atom
! SG ... C2/c (15)

---

2.
! La3PrSm | the Alexandria database | PBE | relaxed; values from VASP
&SYSTEM
  ibrav = 0, nat = 10, ntyp = 3
/
ATOMIC_SPECIES
La 138.91 La.upf
Sm 150.36 Sm.upf
Pr 140.91 Pr.upf
CELL_PARAMETERS angstrom
-1.543 -3.228 5.466
6.738 -1.488 1.023
4.249 6.248 4.888
ATOMIC_POSITIONS crystal
La 0.750 0.068 0.336
La 0.750 0.596 0.336
Sm 0.750 0.171 0.658
La 0.250 0.404 0.664
Sm 0.250 0.829 0.342
La 0.000 0.000 0.000
Pr 0.250 0.403 0.194
La 0.250 0.932 0.664
Pr 0.750 0.597 0.806
La 0.500 0.000 0.000
! DFT formation energy ... 263.1 meV/atom
! SG ... Cmcm (63)

---

Q: Which of these has the highest DFT formation energy?
A: La3PrSm